Entry 1:
VASP calculation (PBE-GGA) on an optimized crystal structure of FeTcTe.

- Fermi-level density of states (states/eV/atom) = 0.704
- E_form (uncorrected) (meV/atom) = 81.6
- M_tot (μB per atom) = 0.0237

Cell and atoms, written as CIF:
```
data_FeTcTe
_chemical_formula_sum 'Fe2 Tc2 Te2'
_cell_length_a 4.1710
_cell_length_b 4.1710
_cell_length_c 8.3917
_cell_angle_alpha 90.00
_cell_angle_beta 90.00
_cell_angle_gamma 120.00
_space_group_name_H-M_alt 'P 3 m 1'
_space_group_IT_number 156
loop_
_space_group_symop_operation_xyz
'x,y,z'
'-y,x-y,z'
'-x+y,-x,z'
'-y,-x,z'
'-x+y,y,z'
'x,x-y,z'
loop_
_atom_site_label
_atom_site_type_symbol
_atom_site_fract_x
_atom_site_fract_y
_atom_site_fract_z
Fe1 Fe 0.0000 0.0000 0.0000
Fe2 Fe 0.3333 0.6667 0.8538
Tc1 Tc 0.0000 0.0000 0.7160
Tc2 Tc 0.6667 0.3333 0.8526
Te1 Te 0.3333 0.6667 0.5504
Te2 Te 0.6667 0.3333 0.1602
```

Entry 2:
VASP calculation (PBE-GGA) on an optimized crystal structure of FeTcTe.

- Fermi-level density of states (states/eV/atom) = 0.676
- E_form (uncorrected) (meV/atom) = 156.4
- M_tot (μB per atom) = 0.6947

Cell and atoms, written as CIF:
```
data_FeTcTe
_chemical_formula_sum 'Fe2 Tc2 Te2'
_cell_length_a 3.100
_cell_length_b 4.253
_cell_length_c 9.952
_cell_angle_alpha 89.20
_cell_angle_beta 81.18
_cell_angle_gamma 68.67
_space_group_name_H-M_alt 'P 1'
_space_group_IT_number 1
loop_
_space_group_symop_operation_xyz
'x,y,z'
loop_
_atom_site_label
_atom_site_type_symbol
_atom_site_fract_x
_atom_site_fract_y
_atom_site_fract_z
Fe1 Fe 0.000 0.000 0.000
Fe2 Fe 0.235 0.441 0.093
Tc1 Tc 0.131 0.983 0.751
Tc2 Tc 0.788 0.551 0.870
Te1 Te 0.450 0.879 0.226
Te2 Te 0.922 0.560 0.588
```

Entry 3:
VASP calculation (PBE-GGA) on an optimized crystal structure of FeTcTe.

- Fermi-level density of states (states/eV/atom) = 0.937
- E_form (uncorrected) (meV/atom) = 533.5
- M_tot (μB per atom) = 0.9326

Cell and atoms, written as CIF:
```
data_FeTcTe
_chemical_formula_sum 'Fe1 Tc1 Te1'
_cell_length_a 3.1513
_cell_length_b 3.1513
_cell_length_c 6.0232
_cell_angle_alpha 90.00
_cell_angle_beta 90.00
_cell_angle_gamma 120.00
_space_group_name_H-M_alt 'P 3 m 1'
_space_group_IT_number 156
loop_
_space_group_symop_operation_xyz
'x,y,z'
'-y,x-y,z'
'-x+y,-x,z'
'-y,-x,z'
'-x+y,y,z'
'x,x-y,z'
loop_
_atom_site_label
_atom_site_type_symbol
_atom_site_fract_x
_atom_site_fract_y
_atom_site_fract_z
Fe1 Fe 0.0000 0.0000 0.0000
Tc1 Tc 0.3333 0.6667 0.2895
Te1 Te 0.6667 0.3333 0.6432
```